Material: SrInN3
Method: DFT, PBE-GGA
State: optimized geometry

Properties
* magnetization: 6.000 μB per cell
* E_form (uncorrected): 1.889 eV per atom
* E_tot: -19.95 eV per cell

Cell lengths 4.821, 4.821, 4.821 Å; angles 90.00, 90.00, 90.00 degrees
Last column: magnetic moment on the atom in μB.
Fractional positions:
In (0.500, 0.500, 0.500)  0.07
N (0.500, 0.000, 0.000)  1.09
Sr (0.000, 0.000, 0.000)  0.11
N (0.000, 0.000, 0.500)  1.46
N (0.000, 0.500, 0.000)  1.40


Material: Li3VC
Method: DFT, PBE-GGA
State: optimized geometry

Properties
* magnetization: 3.665 μB per cell
* ΔE_f: 0.85 eV per atom
* polymorph energy (0 for the lowest one): 0 meV/atom
* E_tot: -19.82 eV per cell

Cell lengths 4.051, 4.051, 4.051 Å; angles 90.00, 90.00, 90.00 degrees
Last column: magnetic moment on the atom in μB.
Fractional positions:
Li (0.000, 0.500, 0.000)  0.02
V (0.500, 0.500, 0.500)  3.03
C (0.000, 0.000, 0.000)  -0.23
Li (0.500, 0.000, 0.000)  0.02
Li (0.000, 0.000, 0.500)  0.02


Copy entry 2 word for word.
Material: Li3VC
Method: DFT, PBE-GGA
State: optimized geometry

Properties
* magnetization: 3.665 μB per cell
* ΔE_f: 0.85 eV per atom
* polymorph energy (0 for the lowest one): 0 meV/atom
* E_tot: -19.82 eV per cell

Cell lengths 4.051, 4.051, 4.051 Å; angles 90.00, 90.00, 90.00 degrees
Last column: magnetic moment on the atom in μB.
Fractional positions:
Li (0.000, 0.500, 0.000)  0.02
V (0.500, 0.500, 0.500)  3.03
C (0.000, 0.000, 0.000)  -0.23
Li (0.500, 0.000, 0.000)  0.02
Li (0.000, 0.000, 0.500)  0.02